Computed, not measured: an optimized crystal structure of Nb13Sn2 at the PBE level of DFT.

Output
- DOS(E_F) (states/eV per atom) = 1.290
- DFT formation energy (kJ/mol of formula units) = 921.7
- spin magnetization (μB per cell) = 0.00

Lattice parameters (Å, degrees): 7.4751 7.4751 8.2320 63.00 63.00 60.00
Closest atoms and distances in Å follow each position.
Fractional coordinates of all 15 atoms:
1 Nb 0.6226 0.9966 0.7581  5 Nb 2.73-2.80, 2 Sn 2.87-2.89
2 Nb 0.2539 0.2539 0.6317  6 Nb 2.73-2.94
3 Nb 0.0034 0.3774 0.2419  5 Nb 2.73-2.80, 2 Sn 2.87-2.89
4 Nb 0.5000 0.5000 0.5000  6 Nb 2.78, 2 Sn 2.82
5 Nb 0.2539 0.8605 0.6317  6 Nb 2.73-2.94
6 Nb 0.9966 0.6226 0.7581  5 Nb 2.73-2.80, 2 Sn 2.87-2.89
7 Nb 0.7461 0.7461 0.3683  6 Nb 2.73-2.94
8 Nb 0.3774 0.3774 0.2419  5 Nb 2.73-2.80, 2 Sn 2.87-2.89
9 Nb 0.6226 0.6226 0.7581  5 Nb 2.73-2.80, 2 Sn 2.87-2.89
10 Nb 0.1395 0.7461 0.3683  6 Nb 2.73-2.94
11 Nb 0.7461 0.1395 0.3683  6 Nb 2.73-2.94
12 Nb 0.8605 0.2539 0.6317  6 Nb 2.73-2.94
13 Nb 0.3774 0.0034 0.2419  5 Nb 2.73-2.80, 2 Sn 2.87-2.89
14 Sn 0.3658 0.3658 0.9027  7 Nb 2.82-2.89
15 Sn 0.6342 0.6342 0.0973  7 Nb 2.82-2.89